one.
The following is a GGA-PBE calculation of a relaxed HoNpGa2 crystal, from Alexandria via LeMat-Bulk.

abc: 3.458 3.458 9.403
angles: 79.40 79.40 60.00
Last column: magnetic moment on the atom in μB.
Element x y z (fractional)
Np1 0.000 0.000 0.000  3.95
Ho1 0.500 0.500 0.500  -0.10
Ga1 0.751 0.751 0.746  -0.01
Ga2 0.249 0.249 0.254  -0.01

Size of the total moment = 4.1 μB per formula unit
Fermi-level density of states = 1.84 states/eV/atom
Space group = R-3m (166)

=====

two.
The following is a GGA-PBE calculation of a relaxed HoNpGa2 crystal, from Alexandria via LeMat-Bulk.

abc: 3.441 5.101 5.101
angles: 90.00 90.00 90.00
Last column: magnetic moment on the atom in μB.
Element x y z (fractional)
Np1 0.500 0.000 0.000  3.90
Ho1 0.500 0.500 0.500  0.01
Ga1 0.000 0.000 0.500  -0.01
Ga2 0.000 0.500 0.000  -0.01

Size of the total moment = 4.1 μB per formula unit
Fermi-level density of states = 1.01 states/eV/atom
Space group = P4/mmm (123)

=====

What is the stability order? It is two, one, from most stable to least stable.